[1]
4
Lattice="-2.6570 -1.3743 1.5560 -1.2189 -2.9646 -1.0463 1.8731 -3.8926 3.4140" Properties=species:S:1:pos:R:3 comment="PmTcN2 PBE optimized geometry" spacegroup="R-3m (166)" dft_energy_ev_per_atom=-8.50 pbc="T T T"
Pm 0.0000 0.0000 0.0000
N -1.6445 -6.0636 2.7968
N -0.3583 -2.1680 1.1269
Tc -1.0014 -4.1158 1.9618



[2]
6
Lattice="-2.7466 -0.7599 2.3684 2.0941 -2.6103 1.5910 2.8169 6.3575 2.4078" Properties=species:S:1:pos:R:3 comment="ScFeCu PBE optimized geometry" spacegroup="I4/mmm (139)" ef_mev_per_atom=-50.7 pbc="T T T"
Cu 1.5531 1.8405 5.2902
Cu 0.6113 1.1469 1.0769
Fe -1.3733 -0.3799 1.1842
Fe 1.0471 -1.3051 0.7955
Sc 1.6566 3.1078 2.9182
Sc 0.5078 -0.1204 3.4489